1.
Material: NdCuSnTe2Se
Method: DFT, PBE-GGA
State: optimized geometry

The total DFT energy (no corrections) comes out at -106.94 eV per cell.

Unit cell a=4.244 b=14.443 c=10.905 alpha=90.00 beta=90.00 gamma=90.00
Space group Cmcm (No. 63)
Inequivalent atoms, fractional coordinates:
Nd 0.000 0.000 0.000 (multiplicity 4)
Cu 0.000 0.474 0.250 (multiplicity 4)
Sn 0.000 0.255 0.750 (multiplicity 4)
Te 0.000 0.348 0.071 (multiplicity 8)
Se 0.000 0.075 0.250 (multiplicity 4)

***

2.
Material: SrNdCuTeSe2
Method: DFT, PBE-GGA
State: optimized geometry

The total DFT energy (no corrections) comes out at -115.34 eV per cell.

Unit cell a=4.218 b=14.178 c=11.476 alpha=90.00 beta=90.00 gamma=90.00
Space group Cmcm (No. 63)
Inequivalent atoms, fractional coordinates:
Sr 0.000 0.225 0.250 (multiplicity 4)
Nd 0.000 0.000 0.000 (multiplicity 4)
Cu 0.000 0.476 0.750 (multiplicity 4)
Te 0.000 0.092 0.750 (multiplicity 4)
Se 0.000 0.368 0.579 (multiplicity 8)

***

3.
Material: NdTmCuSe3
Method: DFT, PBE-GGA
State: optimized geometry

The polymorph energy (0 for the lowest one) is 0 meV/atom.

Unit cell a=10.422 b=3.937 c=13.396 alpha=90.00 beta=90.00 gamma=90.00
Space group Pnma (No. 62)
Inequivalent atoms, fractional coordinates:
Nd 0.220 0.250 0.014 (multiplicity 4)
Tm 0.022 0.750 0.745 (multiplicity 4)
Cu 0.234 0.750 0.225 (multiplicity 4)
Se 0.043 0.750 0.113 (multiplicity 4)
Se 0.092 0.250 0.603 (multiplicity 4)
Se 0.230 0.250 0.339 (multiplicity 4)

***

4.
Material: NdTmCuSe3
Method: DFT, PBE-GGA
State: optimized geometry

The polymorph energy (0 for the lowest one) is 3 meV/atom.

Unit cell a=3.950 b=13.467 c=10.374 alpha=90.00 beta=90.00 gamma=90.00
Space group Cmcm (No. 63)
Inequivalent atoms, fractional coordinates:
Nd 0.000 0.233 0.250 (multiplicity 4)
Tm 0.000 0.000 0.000 (multiplicity 4)
Cu 0.000 0.474 0.750 (multiplicity 4)
Se 0.000 0.090 0.750 (multiplicity 4)
Se 0.000 0.358 0.566 (multiplicity 8)

***

5.
Material: NdCuSi3
Method: DFT, PBE-GGA
State: optimized geometry

The total DFT energy (no corrections) comes out at -107.55 eV per cell.

Unit cell a=4.066 b=21.207 c=4.120 alpha=90.00 beta=90.00 gamma=90.00
Space group Cmmm (No. 65)
Inequivalent atoms, fractional coordinates:
Nd 0.000 0.167 0.000 (multiplicity 4)
Cu 0.000 0.390 0.500 (multiplicity 4)
Si 0.000 0.055 0.500 (multiplicity 4)
Si 0.000 0.279 0.500 (multiplicity 4)
Si 0.000 0.445 0.000 (multiplicity 4)

***

6.
Material: Nd3Cu2Si4
Method: DFT, PBE-GGA
State: optimized geometry

The total DFT energy (no corrections) comes out at -99.73 eV per cell.

Unit cell a=10.972 b=4.102 c=8.219 alpha=90.00 beta=99.40 gamma=90.00
Space group C2/m (No. 12)
Inequivalent atoms, fractional coordinates:
Nd 0.000 0.000 0.000 (multiplicity 2)
Nd 0.162 0.500 0.668 (multiplicity 4)
Cu 0.111 0.500 0.281 (multiplicity 4)
Si 0.059 0.000 0.389 (multiplicity 4)
Si 0.218 0.500 0.059 (multiplicity 4)

***

7.
Material: Nd4Cu3Si
Method: DFT, PBE-GGA
State: optimized geometry

The total DFT energy (no corrections) comes out at -37.99 eV per cell.

Unit cell a=5.796 b=4.266 c=7.654 alpha=90.00 beta=91.19 gamma=90.00
Space group Pm (No. 6)
Inequivalent atoms, fractional coordinates:
Nd 0.000 0.000 0.000 (multiplicity 1)
Nd 0.227 0.000 0.492 (multiplicity 1)
Nd 0.496 0.500 0.845 (multiplicity 1)
Nd 0.728 0.500 0.354 (multiplicity 1)
Cu 0.251 0.500 0.205 (multiplicity 1)
Cu 0.488 0.000 0.142 (multiplicity 1)
Cu 0.753 0.000 0.643 (multiplicity 1)
Si 0.991 0.500 0.712 (multiplicity 1)

***

8.
Material: NdCuSi
Method: DFT, PBE-GGA
State: optimized geometry

The total DFT energy (no corrections) comes out at -60.71 eV per cell.

Unit cell a=6.321 b=6.321 c=6.321 alpha=90.00 beta=90.00 gamma=90.00
Space group F-43m (No. 216)
Inequivalent atoms, fractional coordinates:
Nd 0.000 0.000 0.000 (multiplicity 4)
Cu 0.250 0.250 0.250 (multiplicity 4)
Si 0.000 0.000 0.500 (multiplicity 4)